DFT (PBEsol) results for crystalline Hg2GeTeRh at its relaxed geometry.

a b c (Å): 5.1070 5.1070 4.9885
angles (deg): 90.00 90.00 90.00
Space group P4/mmm (No. 123)
Inequivalent atoms, fractional coordinates:
Hg 0.0000 0.5000 0.0000 x2
Ge 0.0000 0.0000 0.5000 x1
Te 0.5000 0.5000 0.5000 x1
Rh 0.5000 0.5000 0.0000 x1

Values from the calculation:
Calculated total energy: -3.10 eV/atom
M_tot: 0.0 μB/cell
Formation energy from raw total energies: 0.444 eV/atom